First-principles (PBE) data for an optimized crystal structure of Tb3Y2Ho7, as listed in the Alexandria database.

Cell: 3.5034 6.3054 17.8271 Å, 75.61 90.00 90.00°
With the nearest neighbours (Å) after each atom.
Atoms (fractional coordinates):
Ho (0.0000, 0.4390, 0.8352)  2 Y 3.46, 7 Ho 3.50-3.61, 3 Tb 3.52-3.70
Ho (0.0000, 0.0000, 0.0000)  8 Ho 3.50-3.55, 4 Tb 3.61
Ho (0.5000, 0.9420, 0.8330)  1 Y 3.46, 8 Ho 3.50-3.61, 3 Tb 3.54-3.66
Ho (0.0000, 0.5610, 0.1648)  2 Y 3.46, 7 Ho 3.50-3.61, 3 Tb 3.52-3.70
Ho (0.5000, 0.2440, 0.5011)  2 Ho 3.09-3.22, 2 Y 3.39-3.41
Ho (0.5000, 0.0580, 0.1670)  1 Y 3.46, 8 Ho 3.50-3.61, 3 Tb 3.54-3.66
Ho (0.5000, 0.7560, 0.4989)  2 Ho 3.09-3.22, 2 Y 3.39-3.41
Y (0.5000, 0.3861, 0.6734)  5 Ho 3.39-3.46, 2 Y 3.50, 4 Tb 3.59-3.64
Y (0.5000, 0.6139, 0.3266)  5 Ho 3.39-3.46, 2 Y 3.50, 4 Tb 3.59-3.64
Tb (0.0000, 0.1072, 0.3423)  2 Tb 3.50, 7 Ho 3.56-3.70, 4 Y 3.59-3.64
Tb (0.0000, 0.8928, 0.6577)  2 Tb 3.50, 7 Ho 3.56-3.70, 4 Y 3.59-3.64
Tb (0.5000, 0.5000, 0.0000)  2 Tb 3.50, 10 Ho 3.52-3.61

Values from the calculation:
Total DFT energy (no corrections) = -4.8238 eV/atom
Energy above the lowest structure with this stoichiometry = 0 meV per atom
Calculated formation energy = 0.0814 eV/atom
Volume = 381 Å³ per cell
Total magnetization = 0.0 μB per formula unit